First-principles (PBE-GGA) data for CsHfTiSn2 after structural relaxation, as listed in Alexandria via LeMat-Bulk.

Calculated values
The value obtained for the magnetic moment is 3.15 μB per formula unit. Its space-group type is P4/mmm.

abc: 5.5761 5.9718 5.5761
angles: 90.00 90.00 90.00
Each line ends with the local moment (μB).
Positions (direct):
Sn 0.0000 0.0000 0.5000  -0.04
Sn 0.5000 0.0000 0.0000  -0.01
Ti 0.5000 0.5000 0.5000  2.06
Cs 0.0000 0.5000 0.0000  0.07
Hf 0.0000 0.0000 0.0000  0.21



First-principles (PBE-GGA) data for Ti8InCo2 after structural relaxation, as listed in Alexandria via LeMat-Bulk.

Calculated values
The value obtained for the magnetic moment is 0.00 μB per formula unit. Its space-group type is P4/mmm.

abc: 5.7893 5.7893 6.2069
angles: 90.00 90.00 90.00
Positions (direct):
Ti 0.2355 0.7645 0.7724
Ti 0.2355 0.2355 0.7724
Ti 0.2355 0.2355 0.2276
Ti 0.7645 0.7645 0.2276
Ti 0.2355 0.7645 0.2276
Ti 0.7645 0.2355 0.7724
Ti 0.7645 0.7645 0.7724
Ti 0.7645 0.2355 0.2276
In 0.5000 0.5000 0.5000
Co 0.0000 0.5000 0.0000
Co 0.5000 0.0000 0.0000



First-principles (PBE-GGA) data for PmDyErTl after structural relaxation, as listed in Alexandria via LeMat-Bulk.

Calculated values
The value obtained for the magnetic moment is 0.65 μB per formula unit. Its space-group type is Pmmm.

abc: 4.9089 4.8380 4.8848
angles: 90.00 90.00 90.00
Each line ends with the local moment (μB).
Positions (direct):
Er 0.0000 0.5000 0.5000  0.18
Tl 0.0000 0.0000 0.0000  -0.01
Pm 0.5000 0.0000 0.5000  0.13
Dy 0.5000 0.5000 0.0000  0.17



First-principles (PBE-GGA) data for RbLa after structural relaxation, as listed in Alexandria via LeMat-Bulk.

Calculated values
The value obtained for the magnetic moment is 0.00 μB per formula unit. Its space-group type is P4/mmm.

abc: 15.2779 15.2779 3.7044
angles: 90.00 90.00 90.00
Positions (direct):
Rb 0.7393 0.2607 0.5000
Rb 0.2607 0.2607 0.5000
Rb 0.0000 0.7616 0.0000
Rb 0.7616 0.0000 0.0000
Rb 0.2607 0.7393 0.5000
Rb 0.0000 0.2384 0.0000
Rb 0.2384 0.0000 0.0000
Rb 0.7393 0.7393 0.5000
La 0.1228 0.5000 0.0000
La 0.3471 0.5000 0.5000
La 0.5000 0.8772 0.0000
La 0.8772 0.5000 0.0000
La 0.5000 0.3471 0.5000
La 0.5000 0.6529 0.5000
La 0.6529 0.5000 0.5000
La 0.5000 0.1228 0.0000



Values for VASP energy, eV/atom, ordered as above
-4.252; -6.924; -4.252; -2.462